The following is a DFT calculation (PBE) of a relaxed structure of Gd2ErMg3CdIn2.

Summary:
Uncorrected energy: -3.135 eV/atom

a = 4.6466 Å, b = 13.0036 Å, c = 7.5794 Å
α = 90.00°, β = 90.00°, γ = 90.00°
Space group Amm2 (No. 38)
Asymmetric unit:
Gd1 0.0000 0.2131 0.0000 [4 per cell]
Er1 0.0000 0.0000 0.3609 [2 per cell]
Mg1 0.5000 0.0000 0.0261 [2 per cell]
Mg2 0.5000 0.1201 0.6655 [4 per cell]
Cd1 0.0000 0.0000 0.7821 [2 per cell]
In1 0.5000 0.1650 0.2872 [4 per cell]

---

The following is a DFT calculation (PBE) of a relaxed structure of Lu2HfSi.

Summary:
Uncorrected energy: -6.068 eV/atom

a = 6.9917 Å, b = 6.9917 Å, c = 6.9917 Å
α = 90.00°, β = 90.00°, γ = 90.00°
Space group F-43m (No. 216)
Asymmetric unit:
Lu1 0.0000 0.0000 0.0000 [4 per cell]
Lu2 0.2500 0.2500 0.2500 [4 per cell]
Hf1 0.2500 0.2500 0.7500 [4 per cell]
Si1 0.0000 0.0000 0.5000 [4 per cell]

---

The following is a DFT calculation (PBE) of a relaxed structure of ErNiPt.

Summary:
Energy relative to the elements: -18.9 kJ per mole of atoms
Uncorrected energy: -5.591 eV/atom

a = 6.2901 Å, b = 6.2901 Å, c = 6.2901 Å
α = 90.00°, β = 90.00°, γ = 90.00°
Space group F-43m (No. 216)
Asymmetric unit:
Er1 0.0000 0.0000 0.0000 [4 per cell]
Ni1 0.2500 0.2500 0.7500 [4 per cell]
Pt1 0.2500 0.2500 0.2500 [4 per cell]

---

The following is a DFT calculation (PBE) of a relaxed structure of NdAlOs.

Summary:
Uncorrected energy: -6.271 eV/atom

a = 6.4211 Å, b = 6.4211 Å, c = 6.4211 Å
α = 90.00°, β = 90.00°, γ = 90.00°
Space group F-43m (No. 216)
Asymmetric unit:
Nd1 0.0000 0.0000 0.0000 [4 per cell]
Al1 0.2500 0.2500 0.2500 [4 per cell]
Os1 0.0000 0.0000 0.5000 [4 per cell]